1.
TePbF2: relaxed, GGA-PBE.

Lattice parameters (Å, degrees): 6.7118 6.7118 6.7118 90.00 90.00 90.00
Space group Fm-3m (No. 225)
Symmetry-distinct sites (fractional):
Te1 0.0000 0.0000 0.0000
Pb1 0.0000 0.0000 0.5000
F1 0.2500 0.2500 0.2500

Values from the calculation:
D(E_F): 0.677 states/eV per atom
M_tot: 0.00 μB per formula unit
formation energy (no corrections): -0.9882 eV/atom
DFT total energy: -3.636 eV/atom
ΔE to the lowest computed polymorph: 257 meV per atom

=====

2.
Te2PbF11: relaxed, GGA-PBE.

Lattice parameters (Å, degrees): 9.5407 9.7331 10.9757 90.00 90.00 90.00
Space group Ibam (No. 72)
Symmetry-distinct sites (fractional):
Te1 0.1647 0.1681 0.0000
Pb1 0.0000 0.5000 0.2500
F1 0.0000 0.0000 0.0000
F2 0.0770 0.2893 0.1293
F3 0.1903 0.1984 0.5000
F4 0.2180 0.4256 0.3719

Values from the calculation:
D(E_F): 0.313 states/eV per atom
M_tot: 0.00 μB per formula unit
formation energy (no corrections): -2.1245 eV/atom
DFT total energy: -4.309 eV/atom

=====

3.
Te2PbF: relaxed, GGA-PBE.

Lattice parameters (Å, degrees): 7.3879 7.3879 7.3879 90.00 90.00 90.00
Space group Fm-3m (No. 225)
Symmetry-distinct sites (fractional):
Te1 0.2500 0.2500 0.2500
Pb1 0.0000 0.0000 0.0000
F1 0.0000 0.0000 0.5000

Values from the calculation:
D(E_F): 1.004 states/eV per atom
M_tot: 0.00 μB per formula unit
formation energy (no corrections): -0.3095 eV/atom
DFT total energy: -3.275 eV/atom
ΔE to the lowest computed polymorph: 361 meV per atom